First-principles (GGA-PBE) data for crystalline Tb3SbSN at its relaxed geometry, as listed in Alexandria.

a b c (Å): 8.4378 4.0671 9.0852
angles (deg): 90.00 101.72 90.00
Space group P2_1/m (No. 11)
One atom of each set of equivalent atoms:
Tb: 0.0757 0.2500 0.3455
Tb: 0.3375 0.2500 0.9860
Tb: 0.3905 0.7500 0.6563
Sb: 0.3198 0.7500 0.2852
S: 0.1526 0.2500 0.6509
N: 0.4029 0.7500 0.8978

Computed properties:
The uncorrected formation energy comes out at -1.463 eV/atom.

***

First-principles (GGA-PBE) data for crystalline SbTeS2N at its relaxed geometry, as listed in Alexandria.

a b c (Å): 5.1571 5.1571 3.8944
angles (deg): 90.00 90.00 90.00
Space group P4/mmm (No. 123)
One atom of each set of equivalent atoms:
Sb: 0.0000 0.0000 0.0000
Te: 0.5000 0.5000 0.5000
S: 0.0000 0.5000 0.0000
N: 0.0000 0.0000 0.5000

Computed properties:
The uncorrected formation energy comes out at 0.849 eV/atom. The calculation puts the offset from the most stable computed form at 0 meV per atom.

***

First-principles (GGA-PBE) data for crystalline Sb2TeSN at its relaxed geometry, as listed in Alexandria.

a b c (Å): 4.8768 4.8768 4.5666
angles (deg): 90.00 90.00 90.00
Space group P4/mmm (No. 123)
One atom of each set of equivalent atoms:
Sb: 0.0000 0.5000 0.0000
Te: 0.0000 0.0000 0.5000
S: 0.5000 0.5000 0.5000
N: 0.0000 0.0000 0.0000

Computed properties:
The uncorrected formation energy comes out at 0.814 eV/atom. The calculation puts the offset from the most stable computed form at 0 meV per atom.